## Ac2Te5 (PBE-GGA)

Data for a geometry-optimized Ac2Te5 structure.

abc: 4.575 47.556 4.575
angles: 90.00 90.00 90.00
Space group Cmcm (No. 63)
Asymmetric unit:
Ac  0.000  0.100  0.250 x4
Ac  0.000  0.307  0.250 x4
Te  0.000  0.044  0.750 x4
Te  0.000  0.174  0.250 x4
Te  0.000  0.250  0.750 x4
Te  0.000  0.379  0.250 x4
Te  0.000  0.456  0.750 x4

## Properties
Fermi-level density of states ... 6.4 states/eV/cell
Total DFT energy (no corrections) ... -32.4 eV/f.u.